A plane-wave DFT calculation with PBE-GGA was carried out for a relaxed structure of Li2HoBi.

a = 4.446 Å, b = 4.446 Å, c = 4.846 Å
α = 90.00°, β = 90.00°, γ = 90.00°
Fractional positions:
Li 0.000 0.500 0.000
Li 0.500 0.000 0.000
Ho 0.000 0.000 0.500
Bi 0.500 0.500 0.500

## Properties
- magnetic moment (μB/cell) = 0.0
- space group = P4/mmm

***

A plane-wave DFT calculation with PBE-GGA was carried out for a relaxed structure of CaZn8Ag2.

a = 5.094 Å, b = 5.094 Å, c = 9.499 Å
α = 90.00°, β = 90.00°, γ = 90.00°
Fractional positions:
Ca 0.000 0.000 0.000
Zn 0.251 0.251 0.275
Zn 0.251 0.251 0.725
Zn 0.251 0.749 0.275
Zn 0.251 0.749 0.725
Zn 0.749 0.251 0.275
Zn 0.749 0.251 0.725
Zn 0.749 0.749 0.275
Zn 0.749 0.749 0.725
Ag 0.000 0.500 0.500
Ag 0.500 0.000 0.500

## Properties
- magnetic moment (μB/cell) = 0.0
- space group = P4/mmm

***

A plane-wave DFT calculation with PBE-GGA was carried out for a relaxed structure of AsIrW3.

a = 4.772 Å, b = 4.772 Å, c = 4.772 Å
α = 90.00°, β = 90.00°, γ = 90.00°
Fractional positions:
As 0.000 0.000 0.000
Ir 0.500 0.500 0.500
W 0.000 0.500 0.500
W 0.500 0.000 0.500
W 0.500 0.500 0.000

## Properties
- magnetic moment (μB/cell) = 0.0
- space group = Pm-3m

***

For the records above, the corresponding raw total energy values read -3.50; -1.47; -8.50 eV per atom.
For the records above, the corresponding calculated formation energy values read -0.43; 0.16; 1.97 eV per atom.